Entry 1:
The following is a PBE calculation of an optimized crystal structure of Ac2ZnP3Rh12, from the Alexandria database.

Cell and atoms, written as CIF:
```
data_Ac2ZnP3Rh12
_space_group_name_H-M_alt 'R -3 m'
_space_group_IT_number 166
_space_group_name_Hall '-R 3 2"'
_cell_length_a 8.4774
_cell_length_b 8.4774
_cell_length_c 15.8702
_cell_angle_alpha 90.00
_cell_angle_beta 90.00
_cell_angle_gamma 120.00
loop_
_atom_site_label
_atom_site_fract_x
_atom_site_fract_y
_atom_site_fract_z
_atom_site_occupancy
Ac1 0.0000 0.0000 0.1098 1
Zn1 0.0000 0.0000 0.5000 1
P1 0.0000 0.5000 0.0000 1
Rh1 0.0030 0.5015 0.1385 1
Rh2 0.0568 0.5284 0.3566 1
```

Values from the calculation:
The calculated volume comes out at 18.3 Å³/atom. The total energy comes out at -6.581 eV/atom. The formation energy comes out at -0.251 eV/atom.

Entry 2:
The following is a PBE calculation of an optimized crystal structure of La2SI, from the Alexandria database.

Cell and atoms, written as CIF:
```
data_La2SI
_space_group_name_H-M_alt 'I -4 2 d'
_space_group_IT_number 122
_space_group_name_Hall 'I -4 2bw'
_cell_length_a 6.932
_cell_length_b 6.932
_cell_length_c 13.608
_cell_angle_alpha 90.00
_cell_angle_beta 90.00
_cell_angle_gamma 90.00
loop_
_atom_site_label
_atom_site_fract_x
_atom_site_fract_y
_atom_site_fract_z
_atom_site_occupancy
La1 0.196 0.250 0.125 1
S1 0.000 0.000 0.000 1
I1 0.000 0.000 0.500 1
```

Values from the calculation:
The formation energy from raw total energies comes out at -1.096 eV per atom. The distance to the lowest polymorph of the same formula is 510 meV/atom. The calculated volume comes out at 40.9 Å³/atom. The total energy comes out at -4.979 eV/atom.

Repeat the first record exactly.
The following is a PBE calculation of an optimized crystal structure of Ac2ZnP3Rh12, from the Alexandria database.

Cell and atoms, written as CIF:
```
data_Ac2ZnP3Rh12
_space_group_name_H-M_alt 'R -3 m'
_space_group_IT_number 166
_space_group_name_Hall '-R 3 2"'
_cell_length_a 8.4774
_cell_length_b 8.4774
_cell_length_c 15.8702
_cell_angle_alpha 90.00
_cell_angle_beta 90.00
_cell_angle_gamma 120.00
loop_
_atom_site_label
_atom_site_fract_x
_atom_site_fract_y
_atom_site_fract_z
_atom_site_occupancy
Ac1 0.0000 0.0000 0.1098 1
Zn1 0.0000 0.0000 0.5000 1
P1 0.0000 0.5000 0.0000 1
Rh1 0.0030 0.5015 0.1385 1
Rh2 0.0568 0.5284 0.3566 1
```

Values from the calculation:
The calculated volume comes out at 18.3 Å³/atom. The total energy comes out at -6.581 eV/atom. The formation energy comes out at -0.251 eV/atom.

- What is the calculated volume in the second record?
  40.9 Å³/atom

What did the first record say?
The following is a PBE calculation of an optimized crystal structure of Ac2ZnP3Rh12, from the Alexandria database.

Cell and atoms, written as CIF:
```
data_Ac2ZnP3Rh12
_space_group_name_H-M_alt 'R -3 m'
_space_group_IT_number 166
_space_group_name_Hall '-R 3 2"'
_cell_length_a 8.4774
_cell_length_b 8.4774
_cell_length_c 15.8702
_cell_angle_alpha 90.00
_cell_angle_beta 90.00
_cell_angle_gamma 120.00
loop_
_atom_site_label
_atom_site_fract_x
_atom_site_fract_y
_atom_site_fract_z
_atom_site_occupancy
Ac1 0.0000 0.0000 0.1098 1
Zn1 0.0000 0.0000 0.5000 1
P1 0.0000 0.5000 0.0000 1
Rh1 0.0030 0.5015 0.1385 1
Rh2 0.0568 0.5284 0.3566 1
```

Values from the calculation:
The calculated volume comes out at 18.3 Å³/atom. The total energy comes out at -6.581 eV/atom. The formation energy comes out at -0.251 eV/atom.